Record 1
# B2C, optimized geometry, DFT GGA-PBE
data_B2C
_chemical_formula_sum 'B8 C4'
_cell_length_a 2.6839
_cell_length_b 2.7021
_cell_length_c 12.2081
_cell_angle_alpha 90.00
_cell_angle_beta 90.00
_cell_angle_gamma 90.00
_space_group_name_H-M_alt 'P 1'
_space_group_IT_number 1
loop_
_space_group_symop_operation_xyz
'x,y,z'
loop_
_atom_site_label
_atom_site_type_symbol
_atom_site_fract_x
_atom_site_fract_y
_atom_site_fract_z
B1 B 0.5000 0.5000 0.4696
B2 B 0.0000 0.0000 0.3322
B3 B 0.0000 0.0000 0.0347
B4 B 0.5000 0.5000 0.8305
C1 C 0.5000 0.0000 0.2532
C2 C 0.0000 0.5000 0.0948
C3 C 0.0000 0.5000 0.4127
B5 B 0.0000 0.5000 0.7216
C4 C 0.0000 0.0000 0.6534
B6 B 0.5000 0.0000 0.5929
B7 B 0.5000 0.5000 0.1789
B8 B 0.5000 0.0000 0.9255
# ΔH_f (0 K)   10.653 kcal/mol of atoms
# Offset from the most stable computed form   277 meV per atom
# Raw total energy   -0.51921 Ry per atom
# Calculated volume   7.38 Å³ per atom


Record 2
# MgSc2VAs, optimized geometry, DFT GGA-PBE
data_MgSc2VAs
_chemical_formula_sum 'Mg1 Sc2 V1 As1'
_cell_length_a 5.0409
_cell_length_b 5.0409
_cell_length_c 4.6101
_cell_angle_alpha 90.00
_cell_angle_beta 90.00
_cell_angle_gamma 90.00
_space_group_name_H-M_alt 'P 1'
_space_group_IT_number 1
loop_
_space_group_symop_operation_xyz
'x,y,z'
loop_
_atom_site_label
_atom_site_type_symbol
_atom_site_fract_x
_atom_site_fract_y
_atom_site_fract_z
As1 As 0.0000 0.0000 0.0000
Mg1 Mg 0.5000 0.5000 0.5000
Sc1 Sc 0.5000 0.0000 0.0000
Sc2 Sc 0.0000 0.5000 0.0000
V1 V 0.0000 0.0000 0.5000
# ΔH_f (0 K)   -0.232 kcal/mol of atoms
# Raw total energy   -0.41271 Ry per atom
# Calculated volume   23.43 Å³ per atom


Record 3
# Li3ErPa2N6, optimized geometry, DFT GGA-PBE
data_Li3ErPa2N6
_chemical_formula_sum 'Li3 Er1 Pa2 N6'
_cell_length_a 6.0338
_cell_length_b 6.0338
_cell_length_c 5.3997
_cell_angle_alpha 100.87
_cell_angle_beta 100.87
_cell_angle_gamma 119.95
_space_group_name_H-M_alt 'P 1'
_space_group_IT_number 1
loop_
_space_group_symop_operation_xyz
'x,y,z'
loop_
_atom_site_label
_atom_site_type_symbol
_atom_site_fract_x
_atom_site_fract_y
_atom_site_fract_z
N1 N 0.4209 0.0755 0.2223
N2 N 0.5791 0.9245 0.7777
N3 N 0.9245 0.5791 0.7777
N4 N 0.2703 0.2703 0.7758
N5 N 0.0755 0.4209 0.2223
Er1 Er 0.0000 0.0000 0.0000
Pa1 Pa 0.3335 0.6665 0.0000
N6 N 0.7297 0.7297 0.2242
Li1 Li 0.5000 0.5000 0.5000
Li2 Li 0.1676 0.8324 0.5000
Pa2 Pa 0.6665 0.3335 0.0000
Li3 Li 0.8324 0.1676 0.5000
# Formation energy without anion corrections   -1.038 eV/atom
# Raw total energy   -0.56166 Ry per atom
# Calculated volume   13.15 Å³ per atom


Record 4
# Ac4PmSb5, optimized geometry, DFT GGA-PBE
data_Ac4PmSb5
_chemical_formula_sum 'Ac4 Pm1 Sb5'
_cell_length_a 4.7510
_cell_length_b 4.7510
_cell_length_c 17.0829
_cell_angle_alpha 97.99
_cell_angle_beta 97.99
_cell_angle_gamma 90.00
_space_group_name_H-M_alt 'P 1'
_space_group_IT_number 1
loop_
_space_group_symop_operation_xyz
'x,y,z'
loop_
_atom_site_label
_atom_site_type_symbol
_atom_site_fract_x
_atom_site_fract_y
_atom_site_fract_z
Pm1 Pm 0.0000 0.0000 0.0000
Sb1 Sb 0.9035 0.9035 0.8069
Ac1 Ac 0.1988 0.1988 0.3976
Ac2 Ac 0.4015 0.4015 0.8029
Ac3 Ac 0.8012 0.8012 0.6024
Sb2 Sb 0.0965 0.0965 0.1931
Ac4 Ac 0.5985 0.5985 0.1971
Sb3 Sb 0.5000 0.5000 0.0000
Sb4 Sb 0.6998 0.6998 0.3996
Sb5 Sb 0.3002 0.3002 0.6004
# Formation energy without anion corrections   -1.189 eV/atom
# Offset from the most stable computed form   6 meV per atom
# Raw total energy   -0.39462 Ry per atom
# Calculated volume   37.81 Å³ per atom


Record 5
# NaPaPdAu, optimized geometry, DFT GGA-PBE
data_NaPaPdAu
_chemical_formula_sum 'Na1 Pa1 Pd1 Au1'
_cell_length_a 4.9256
_cell_length_b 4.9256
_cell_length_c 4.9256
_cell_angle_alpha 60.00
_cell_angle_beta 60.00
_cell_angle_gamma 60.00
_space_group_name_H-M_alt 'P 1'
_space_group_IT_number 1
loop_
_space_group_symop_operation_xyz
'x,y,z'
loop_
_atom_site_label
_atom_site_type_symbol
_atom_site_fract_x
_atom_site_fract_y
_atom_site_fract_z
Na1 Na 0.2500 0.2500 0.2500
Pd1 Pd 0.5000 0.5000 0.5000
Au1 Au 0.0000 0.0000 0.0000
Pa1 Pa 0.7500 0.7500 0.7500
# ΔH_f (0 K)   -4.874 kcal/mol of atoms
# Raw total energy   -0.36989 Ry per atom
# Calculated volume   21.13 Å³ per atom


Record 6
# Sr3Ca9Mg2, optimized geometry, DFT GGA-PBE
data_Sr3Ca9Mg2
_chemical_formula_sum 'Sr3 Ca9 Mg2'
_cell_length_a 5.9339
_cell_length_b 10.4495
_cell_length_c 10.4495
_cell_angle_alpha 84.34
_cell_angle_beta 73.50
_cell_angle_gamma 73.50
_space_group_name_H-M_alt 'P 1'
_space_group_IT_number 1
loop_
_space_group_symop_operation_xyz
'x,y,z'
loop_
_atom_site_label
_atom_site_type_symbol
_atom_site_fract_x
_atom_site_fract_y
_atom_site_fract_z
Ca1 Ca 0.8665 0.4104 0.8566
Ca2 Ca 0.3730 0.9976 0.2565
Sr1 Sr 0.2952 0.7048 0.7048
Sr2 Sr 0.7048 0.2952 0.2952
Mg1 Mg 0.5000 0.6597 0.3403
Ca3 Ca 0.1335 0.1434 0.5896
Ca4 Ca 0.0000 0.5000 0.5000
Ca5 Ca 0.3730 0.2565 0.9976
Mg2 Mg 0.5000 0.3403 0.6597
Ca6 Ca 0.6270 0.0024 0.7435
Ca7 Ca 0.8665 0.8566 0.4104
Ca8 Ca 0.6270 0.7435 0.0024
Ca9 Ca 0.1335 0.5896 0.1434
Sr3 Sr 0.0000 0.0000 0.0000
# ΔH_f (0 K)   1.509 kcal/mol of atoms
# Raw total energy   -0.13299 Ry per atom
# Calculated volume   42.54 Å³ per atom